! TbPmSnTe PBE optimized geometry; values from VASP
! Symmetry: No. 160
! Calculated density in g/cm³: 7.304
! Energy relative to the elements, uncorrected in eV/atom: -1.086
&SYSTEM
  ibrav = 0, nat = 4, ntyp = 4
/
ATOMIC_SPECIES
Tb 158.93 Tb.upf
Pm 145.00 Pm.upf
Sn 118.71 Sn.upf
Te 127.60 Te.upf
CELL_PARAMETERS angstrom
2.2223 1.2831 7.3120
-2.2223 1.2831 7.3120
0.0000 -2.5661 7.3120
ATOMIC_POSITIONS angstrom
Tb 0.0000 0.0000 0.0000
Pm 0.0000 0.0000 10.8080
Sn 0.0000 0.0000 16.3337
Te 0.0000 0.0000 5.4521


! TbPmTlSn PBE optimized geometry; values from VASP
! Symmetry: No. 216
! Calculated density in g/cm³: 9.231
! ΔE to the lowest computed polymorph in meV/atom: 77
! Energy of formation from the pure elements in kcal/mol of atoms: -11.2
&SYSTEM
  ibrav = 0, nat = 4, ntyp = 4
/
ATOMIC_SPECIES
Tb 158.93 Tb.upf
Pm 145.00 Pm.upf
Tl 204.38 Tl.upf
Sn 118.71 Sn.upf
CELL_PARAMETERS angstrom
0.0000 3.8349 3.8349
3.8349 0.0000 3.8349
3.8349 3.8349 0.0000
ATOMIC_POSITIONS angstrom
Tb 0.0000 0.0000 0.0000
Pm 3.8349 3.8349 3.8349
Tl 5.7523 5.7523 5.7523
Sn 1.9174 1.9174 1.9174


! TbPmTlSn PBE optimized geometry; values from VASP
! Symmetry: No. 38
! Calculated density in g/cm³: 8.838
! ΔE to the lowest computed polymorph in meV/atom: 0
! Energy of formation from the pure elements in kcal/mol of atoms: -12.9
&SYSTEM
  ibrav = 0, nat = 4, ntyp = 4
/
ATOMIC_SPECIES
Tb 158.93 Tb.upf
Pm 145.00 Pm.upf
Tl 204.38 Tl.upf
Sn 118.71 Sn.upf
CELL_PARAMETERS angstrom
4.3823 0.0000 0.0000
0.0000 2.3123 5.8130
0.0000 -2.3123 5.8130
ATOMIC_POSITIONS angstrom
Tb 0.0000 0.0000 0.0000
Pm 2.1912 0.0000 3.1478
Tl 0.0000 0.0000 8.4462
Sn 2.1912 0.0000 6.3492